Crystalline La2YNi2 at its relaxed geometry. Source: the Alexandria database, functional PBE-GGA.

extended XYZ file:
```
10
Lattice="-4.560 -5.735 3.891 -2.362 -3.093 -7.326 2.629 -2.072 0.027" Properties=species:S:1:pos:R:3 pbc="T T T"
Y 0.000 0.000 0.000
Y -3.461 -4.414 -1.718
Ni -1.070 -4.117 -4.247
Ni -3.710 -7.456 -3.417
Ni -3.223 -6.782 0.839
Ni -0.584 -3.444 0.009
La -3.688 -4.743 -4.907
La -5.438 -6.917 -1.319
La -3.234 -4.084 1.472
La -1.484 -1.911 -2.117
```

Calculated values
Offset from the most stable computed form in meV per atom: 208
Energy relative to the elements in eV/atom: -0.050
V in Å³/atom: 23.035